Entry 1:
A plane-wave DFT calculation with PBE was carried out for CaY2Hf after structural relaxation.

The structure in CIF format:
```
data_CaY2Hf
_symmetry_space_group_name_H-M 'R -3 m'
_symmetry_Int_Tables_number 166
_symmetry_space_group_name_Hall '-R 3 2"'
_cell_length_a 3.3749
_cell_length_b 3.3749
_cell_length_c 37.3550
_cell_angle_alpha 90.00
_cell_angle_beta 90.00
_cell_angle_gamma 120.00
loop_
_atom_site_label
_atom_site_fract_x
_atom_site_fract_y
_atom_site_fract_z
Ca1 0.0000 0.0000 0.0000
Y1 0.0000 0.0000 0.4175
Hf1 0.0000 0.0000 0.5000
```

Total moment, μB/cell: 0.64
Excess energy over the best structure of this formula in the dataset, kJ/mol of atoms: 34.51
Energy relative to the elements, kJ/mol of atoms: 47.61


Entry 2:
A plane-wave DFT calculation with PBE was carried out for CaYHf3 after structural relaxation.

The structure in CIF format:
```
data_CaYHf3
_symmetry_space_group_name_H-M 'P m -3 m'
_symmetry_Int_Tables_number 221
_symmetry_space_group_name_Hall '-P 4 2 3'
_cell_length_a 5.155
_cell_length_b 5.155
_cell_length_c 5.155
_cell_angle_alpha 90.00
_cell_angle_beta 90.00
_cell_angle_gamma 90.00
loop_
_atom_site_label
_atom_site_fract_x
_atom_site_fract_y
_atom_site_fract_z
Ca1 0.000 0.000 0.000
Y1 0.500 0.500 0.500
Hf1 0.000 0.000 0.500
```

Total moment, μB/cell: 1.30
Excess energy over the best structure of this formula in the dataset, kJ/mol of atoms: 16.32
Energy relative to the elements, kJ/mol of atoms: 141.77


Entry 3:
A plane-wave DFT calculation with PBE was carried out for CaYHf3 after structural relaxation.

The structure in CIF format:
```
data_CaYHf3
_symmetry_space_group_name_H-M 'P m -3 m'
_symmetry_Int_Tables_number 221
_symmetry_space_group_name_Hall '-P 4 2 3'
_cell_length_a 5.319
_cell_length_b 5.319
_cell_length_c 5.319
_cell_angle_alpha 90.00
_cell_angle_beta 90.00
_cell_angle_gamma 90.00
loop_
_atom_site_label
_atom_site_fract_x
_atom_site_fract_y
_atom_site_fract_z
Ca1 0.000 0.000 0.000
Y1 0.500 0.500 0.500
Hf1 0.000 0.500 0.500
```

Total moment, μB/cell: 0.00
Excess energy over the best structure of this formula in the dataset, kJ/mol of atoms: 0.00
Energy relative to the elements, kJ/mol of atoms: 125.45


Entry 4:
A plane-wave DFT calculation with PBE was carried out for CaYHf2 after structural relaxation.

The structure in CIF format:
```
data_CaYHf2
_symmetry_space_group_name_H-M 'F m -3 m'
_symmetry_Int_Tables_number 225
_symmetry_space_group_name_Hall '-F 4 2 3'
_cell_length_a 7.587
_cell_length_b 7.587
_cell_length_c 7.587
_cell_angle_alpha 90.00
_cell_angle_beta 90.00
_cell_angle_gamma 90.00
loop_
_atom_site_label
_atom_site_fract_x
_atom_site_fract_y
_atom_site_fract_z
Ca1 0.000 0.000 0.000
Y1 0.000 0.000 0.500
Hf1 0.250 0.250 0.250
```

Total moment, μB/cell: 6.61
Excess energy over the best structure of this formula in the dataset, kJ/mol of atoms: 0.00
Energy relative to the elements, kJ/mol of atoms: 57.48


Entry 5:
A plane-wave DFT calculation with PBE was carried out for CaY2Hf2 after structural relaxation.

The structure in CIF format:
```
data_CaY2Hf2
_symmetry_space_group_name_H-M 'P 4/m b m'
_symmetry_Int_Tables_number 127
_symmetry_space_group_name_Hall '-P 4 2ab'
_cell_length_a 9.228
_cell_length_b 9.228
_cell_length_c 3.409
_cell_angle_alpha 90.00
_cell_angle_beta 90.00
_cell_angle_gamma 90.00
loop_
_atom_site_label
_atom_site_fract_x
_atom_site_fract_y
_atom_site_fract_z
Ca1 0.000 0.000 0.000
Y1 0.127 0.373 0.000
Hf1 0.168 0.668 0.500
```

Total moment, μB/cell: 0.00
Excess energy over the best structure of this formula in the dataset, kJ/mol of atoms: 8.85
Energy relative to the elements, kJ/mol of atoms: 32.08


Entry 6:
A plane-wave DFT calculation with PBE was carried out for CaY2Hf after structural relaxation.

The structure in CIF format:
```
data_CaY2Hf
_symmetry_space_group_name_H-M 'F m -3 m'
_symmetry_Int_Tables_number 225
_symmetry_space_group_name_Hall '-F 4 2 3'
_cell_length_a 7.861
_cell_length_b 7.861
_cell_length_c 7.861
_cell_angle_alpha 90.00
_cell_angle_beta 90.00
_cell_angle_gamma 90.00
loop_
_atom_site_label
_atom_site_fract_x
_atom_site_fract_y
_atom_site_fract_z
Ca1 0.000 0.000 0.000
Y1 0.250 0.250 0.250
Hf1 0.000 0.000 0.500
```

Total moment, μB/cell: 10.64
Excess energy over the best structure of this formula in the dataset, kJ/mol of atoms: 20.14
Energy relative to the elements, kJ/mol of atoms: 33.24


Q: Which of these has the highest total moment?
A: number 6


Q: Which of these has the highest excess energy over the best structure of this formula in the dataset?
A: number 1